1.
! Ce8Pu2Ir PBE relaxed; values from VASP
&SYSTEM
  ibrav = 0, nat = 11, ntyp = 3
/
ATOMIC_SPECIES
Ce 140.12 Ce.upf
Pu 244.00 Pu.upf
Ir 192.22 Ir.upf
CELL_PARAMETERS angstrom
6.454 0.000 0.000
2.197 6.137 0.000
3.177 1.867 7.179
ATOMIC_POSITIONS crystal
Ce 0.084 0.341 0.342
Ce 0.119 0.278 0.878
Ce 0.329 0.822 0.213
Ce 0.344 0.811 0.709
Ce 0.656 0.189 0.291
Ce 0.671 0.178 0.787
Ce 0.881 0.722 0.122
Ce 0.916 0.659 0.658
Pu 0.433 0.338 0.066
Pu 0.567 0.662 0.934
Ir 0.500 0.500 0.500
! SG   P-1
! N(E_F)   2.238 states/eV per atom
! Calculated formation energy   -0.041 eV/atom



2.
! HgTeH4O6 PBE relaxed; values from VASP
&SYSTEM
  ibrav = 0, nat = 48, ntyp = 4
/
ATOMIC_SPECIES
Hg 200.59 Hg.upf
Te 127.60 Te.upf
H 1.01 H.upf
O 16.00 O.upf
CELL_PARAMETERS angstrom
10.685 0.000 0.000
0.000 6.165 0.000
0.000 0.000 8.274
ATOMIC_POSITIONS crystal
Hg 0.011 0.135 0.000
Hg 0.489 0.635 0.500
Hg 0.511 0.365 0.000
Hg 0.989 0.865 0.500
Te 0.140 0.638 0.006
Te 0.360 0.138 0.506
Te 0.640 0.862 0.006
Te 0.860 0.362 0.506
H 0.083 0.494 0.729
H 0.146 0.274 0.421
H 0.217 0.861 0.239
H 0.243 0.916 0.708
H 0.257 0.416 0.208
H 0.283 0.361 0.739
H 0.354 0.774 0.921
H 0.417 0.994 0.229
H 0.583 0.006 0.729
H 0.646 0.226 0.421
H 0.717 0.639 0.239
H 0.743 0.584 0.708
H 0.757 0.084 0.208
H 0.783 0.139 0.739
H 0.854 0.726 0.921
H 0.917 0.506 0.229
O 0.012 0.820 0.909
O 0.014 0.445 0.096
O 0.131 0.814 0.203
O 0.147 0.448 0.814
O 0.223 0.961 0.594
O 0.234 0.331 0.408
O 0.266 0.831 0.908
O 0.277 0.461 0.094
O 0.353 0.948 0.314
O 0.369 0.314 0.703
O 0.486 0.945 0.596
O 0.488 0.320 0.409
O 0.512 0.680 0.909
O 0.514 0.055 0.096
O 0.631 0.686 0.203
O 0.647 0.052 0.814
O 0.723 0.539 0.594
O 0.734 0.169 0.408
O 0.766 0.669 0.908
O 0.777 0.039 0.094
O 0.853 0.552 0.314
O 0.869 0.186 0.703
O 0.986 0.555 0.596
O 0.988 0.180 0.409
! SG   Pna2_1
! N(E_F)   0.000 states/eV per atom
! Final energy   -229.3 eV for the cell shown



3.
! SrAs2Br6 PBE relaxed; values from VASP
&SYSTEM
  ibrav = 0, nat = 18, ntyp = 3
/
ATOMIC_SPECIES
Sr 87.62 Sr.upf
As 74.92 As.upf
Br 79.90 Br.upf
CELL_PARAMETERS angstrom
7.995 -5.795 0.000
7.995 5.795 0.000
-0.417 0.000 8.387
ATOMIC_POSITIONS crystal
Sr 0.050 0.950 0.750
Sr 0.950 0.050 0.250
As 0.159 0.419 0.812
As 0.419 0.159 0.312
As 0.581 0.841 0.688
As 0.841 0.581 0.188
Br 0.020 0.790 0.446
Br 0.034 0.648 0.920
Br 0.210 0.980 0.054
Br 0.352 0.966 0.580
Br 0.359 0.373 0.467
Br 0.373 0.359 0.967
Br 0.627 0.641 0.033
Br 0.641 0.627 0.533
Br 0.648 0.034 0.420
Br 0.790 0.020 0.946
Br 0.966 0.352 0.080
Br 0.980 0.210 0.554
! SG   C2/c
! N(E_F)   0.020 states/eV per atom
! Energy relative to the elements, uncorrected   -0.751 eV/atom



4.
! La2HgOs PBE relaxed; values from VASP
&SYSTEM
  ibrav = 0, nat = 4, ntyp = 3
/
ATOMIC_SPECIES
La 138.91 La.upf
Hg 200.59 Hg.upf
Os 190.23 Os.upf
CELL_PARAMETERS angstrom
3.715 0.000 0.000
0.000 3.783 0.000
0.000 0.000 6.885
ATOMIC_POSITIONS crystal
La 0.000 0.000 0.000
La 0.500 0.500 0.299
Hg 0.500 0.500 0.742
Os 0.000 0.000 0.517
! SG   Pmm2
! N(E_F)   0.969 states/eV per atom
! Calculated formation energy   0.200 eV/atom



5.
! MnHg2 PBE relaxed; values from VASP
&SYSTEM
  ibrav = 0, nat = 12, ntyp = 2
/
ATOMIC_SPECIES
Mn 54.94 Mn.upf
Hg 200.59 Hg.upf
CELL_PARAMETERS angstrom
8.822 0.000 0.000
0.000 5.115 0.000
-3.321 0.000 5.512
ATOMIC_POSITIONS crystal
Mn 0.000 0.109 0.250
Mn 0.000 0.891 0.750
Mn 0.500 0.391 0.750
Mn 0.500 0.609 0.250
Hg 0.161 0.377 0.730
Hg 0.161 0.623 0.230
Hg 0.339 0.123 0.270
Hg 0.339 0.877 0.770
Hg 0.661 0.123 0.230
Hg 0.661 0.877 0.730
Hg 0.839 0.377 0.770
Hg 0.839 0.623 0.270
! SG   C2/c
! N(E_F)   0.305 states/eV per atom
! Calculated formation energy   0.315 eV/atom



6.
! InHg4Br PBE relaxed; values from VASP
&SYSTEM
  ibrav = 0, nat = 6, ntyp = 3
/
ATOMIC_SPECIES
In 114.82 In.upf
Hg 200.59 Hg.upf
Br 79.90 Br.upf
CELL_PARAMETERS angstrom
5.758 0.000 0.000
-1.126 6.097 0.000
-2.147 -3.172 5.383
ATOMIC_POSITIONS crystal
In 0.000 0.000 0.000
Hg 0.328 0.343 0.609
Hg 0.331 0.881 0.690
Hg 0.669 0.119 0.310
Hg 0.672 0.657 0.391
Br 0.000 0.500 0.000
! Energy above the most stable polymorph in this dataset   0 meV/atom
! SG   P-1
! N(E_F)   0.035 states/eV per atom
! Energy relative to the elements, uncorrected   -0.173 eV/atom



7.
! ScIN2O PBE relaxed; values from VASP
&SYSTEM
  ibrav = 0, nat = 5, ntyp = 4
/
ATOMIC_SPECIES
Sc 44.96 Sc.upf
I 126.90 I.upf
N 14.01 N.upf
O 16.00 O.upf
CELL_PARAMETERS angstrom
4.155 0.000 0.000
0.000 4.155 0.000
0.000 0.000 4.022
ATOMIC_POSITIONS crystal
Sc 0.000 0.000 0.000
I 0.500 0.500 0.500
N 0.000 0.500 0.500
N 0.500 0.000 0.500
O 0.500 0.500 0.000
! SG   P4/mmm
! N(E_F)   0.338 states/eV per atom
! Energy relative to the elements, uncorrected   0.635 eV/atom



8.
! MnZn2Hg PBE relaxed; values from VASP
&SYSTEM
  ibrav = 0, nat = 16, ntyp = 3
/
ATOMIC_SPECIES
Mn 54.94 Mn.upf
Zn 65.41 Zn.upf
Hg 200.59 Hg.upf
CELL_PARAMETERS angstrom
6.410 0.000 0.000
0.000 6.410 0.000
0.000 0.000 6.410
ATOMIC_POSITIONS crystal
Mn 0.000 0.000 0.000
Mn 0.000 0.500 0.500
Mn 0.500 0.000 0.500
Mn 0.500 0.500 0.000
Zn 0.000 0.000 0.500
Zn 0.000 0.500 0.000
Zn 0.250 0.250 0.250
Zn 0.250 0.750 0.750
Zn 0.500 0.000 0.000
Zn 0.500 0.500 0.500
Zn 0.750 0.250 0.750
Zn 0.750 0.750 0.250
Hg 0.250 0.250 0.750
Hg 0.250 0.750 0.250
Hg 0.750 0.250 0.250
Hg 0.750 0.750 0.750
! SG   F-43m
! N(E_F)   0.373 states/eV per atom
! Calculated formation energy   0.192 eV/atom



9.
! Sc2SbBr PBE relaxed; values from VASP
&SYSTEM
  ibrav = 0, nat = 8, ntyp = 3
/
ATOMIC_SPECIES
Sc 44.96 Sc.upf
Sb 121.76 Sb.upf
Br 79.90 Br.upf
CELL_PARAMETERS angstrom
3.867 0.000 0.000
0.000 4.003 0.000
0.000 0.000 13.561
ATOMIC_POSITIONS crystal
Sc 0.000 0.000 0.000
Sc 0.000 0.500 0.500
Sc 0.500 0.000 0.207
Sc 0.500 0.500 0.707
Sb 0.000 0.000 0.655
Sb 0.000 0.500 0.155
Br 0.500 0.000 0.410
Br 0.500 0.500 0.910
! Energy above the most stable polymorph in this dataset   11 meV/atom
! SG   Amm2
! N(E_F)   1.008 states/eV per atom
! Energy relative to the elements, uncorrected   -0.832 eV/atom



10.
! CrCdCo4 PBE relaxed; values from VASP
&SYSTEM
  ibrav = 0, nat = 6, ntyp = 3
/
ATOMIC_SPECIES
Cr 52.00 Cr.upf
Cd 112.41 Cd.upf
Co 58.93 Co.upf
CELL_PARAMETERS angstrom
0.000 3.402 3.402
3.402 0.000 3.402
3.402 3.402 0.000
ATOMIC_POSITIONS crystal
Cr 0.000 0.000 0.000
Cd 0.750 0.750 0.750
Co 0.374 0.374 0.374
Co 0.374 0.374 0.877
Co 0.374 0.877 0.374
Co 0.877 0.374 0.374
! SG   F-43m
! N(E_F)   1.122 states/eV per atom
! Calculated formation energy   0.254 eV/atom



11.
! La3InRu PBE relaxed; values from VASP
&SYSTEM
  ibrav = 0, nat = 10, ntyp = 3
/
ATOMIC_SPECIES
La 138.91 La.upf
In 114.82 In.upf
Ru 101.07 Ru.upf
CELL_PARAMETERS angstrom
3.357 -6.954 0.000
3.357 6.954 0.000
0.000 0.000 6.383
ATOMIC_POSITIONS crystal
La 0.000 0.000 0.000
La 0.000 0.000 0.500
La 0.052 0.437 0.250
La 0.437 0.052 0.750
La 0.563 0.948 0.250
La 0.948 0.563 0.750
In 0.435 0.565 0.750
In 0.565 0.435 0.250
Ru 0.170 0.830 0.250
Ru 0.830 0.170 0.750
! Energy above the most stable polymorph in this dataset   302 meV/atom
! SG   Cmcm
! N(E_F)   0.820 states/eV per atom
! Calculated formation energy   -0.115 eV/atom



12.
! LaTa3H PBE relaxed; values from VASP
&SYSTEM
  ibrav = 0, nat = 5, ntyp = 3
/
ATOMIC_SPECIES
La 138.91 La.upf
Ta 180.95 Ta.upf
H 1.01 H.upf
CELL_PARAMETERS angstrom
4.950 0.000 0.000
0.000 4.950 0.000
0.000 0.000 4.950
ATOMIC_POSITIONS crystal
La 0.000 0.000 0.000
Ta 0.000 0.000 0.500
Ta 0.000 0.500 0.000
Ta 0.500 0.000 0.000
H 0.500 0.500 0.500
! Energy above the most stable polymorph in this dataset   2383 meV/atom
! SG   Pm-3m
! N(E_F)   0.922 states/eV per atom



13.
! InSbTe2Pt PBE relaxed; values from VASP
&SYSTEM
  ibrav = 0, nat = 5, ntyp = 4
/
ATOMIC_SPECIES
In 114.82 In.upf
Sb 121.76 Sb.upf
Te 127.60 Te.upf
Pt 195.08 Pt.upf
CELL_PARAMETERS angstrom
5.595 0.000 0.000
0.000 5.595 0.000
0.000 0.000 5.080
ATOMIC_POSITIONS crystal
In 0.000 0.000 0.000
Sb 0.500 0.500 0.000
Te 0.000 0.500 0.500
Te 0.500 0.000 0.500
Pt 0.500 0.500 0.500
! Energy above the most stable polymorph in this dataset   0 meV/atom
! SG   P4/mmm
! N(E_F)   1.071 states/eV per atom
! Energy relative to the elements, uncorrected   0.197 eV/atom



14.
! Cs2IrRuF6 PBE relaxed; values from VASP
&SYSTEM
  ibrav = 0, nat = 10, ntyp = 4
/
ATOMIC_SPECIES
Cs 132.91 Cs.upf
Ir 192.22 Ir.upf
Ru 101.07 Ru.upf
F 19.00 F.upf
CELL_PARAMETERS angstrom
-3.137 3.137 4.726
3.137 -3.137 4.726
3.137 3.137 -4.726
ATOMIC_POSITIONS crystal
Cs 0.250 0.750 0.500
Cs 0.750 0.250 0.500
Ir 0.000 0.000 0.000
Ru 0.500 0.500 0.000
F 0.234 0.234 0.468
F 0.234 0.766 0.000
F 0.282 0.282 0.000
F 0.718 0.718 0.000
F 0.766 0.234 0.000
F 0.766 0.766 0.532
! SG   I4/mmm
! N(E_F)   0.060 states/eV per atom
! Energy relative to the elements, uncorrected   -1.581 eV/atom



15.
! BeNb3Au PBE relaxed; values from VASP
&SYSTEM
  ibrav = 0, nat = 5, ntyp = 3
/
ATOMIC_SPECIES
Be 9.01 Be.upf
Nb 92.91 Nb.upf
Au 196.97 Au.upf
CELL_PARAMETERS angstrom
4.416 0.000 0.000
0.000 4.416 0.000
0.000 0.000 4.416
ATOMIC_POSITIONS crystal
Be 0.000 0.000 0.000
Nb 0.000 0.000 0.500
Nb 0.000 0.500 0.000
Nb 0.500 0.000 0.000
Au 0.500 0.500 0.500
! Energy above the most stable polymorph in this dataset   0 meV/atom
! SG   Pm-3m
! N(E_F)   1.699 states/eV per atom
! Calculated formation energy   0.402 eV/atom



16.
! Ba3TlTc PBE relaxed; values from VASP
&SYSTEM
  ibrav = 0, nat = 5, ntyp = 3
/
ATOMIC_SPECIES
Ba 137.33 Ba.upf
Tl 204.38 Tl.upf
Tc 98.00 Tc.upf
CELL_PARAMETERS angstrom
5.879 0.000 0.000
0.000 5.879 0.000
0.000 0.000 5.879
ATOMIC_POSITIONS crystal
Ba 0.000 0.000 0.500
Ba 0.000 0.500 0.000
Ba 0.500 0.000 0.000
Tl 0.500 0.500 0.500
Tc 0.000 0.000 0.000
! Energy above the most stable polymorph in this dataset   0 meV/atom
! SG   Pm-3m
! N(E_F)   1.138 states/eV per atom
! Calculated formation energy   0.370 eV/atom



17.
! TaMoOs2 PBE relaxed; values from VASP
&SYSTEM
  ibrav = 0, nat = 12, ntyp = 3
/
ATOMIC_SPECIES
Ta 180.95 Ta.upf
Mo 95.94 Mo.upf
Os 190.23 Os.upf
CELL_PARAMETERS angstrom
2.785 0.000 0.000
-1.393 2.412 0.000
0.000 0.000 28.127
ATOMIC_POSITIONS crystal
Ta 0.000 0.000 0.000
Ta 0.333 0.667 0.667
Ta 0.667 0.333 0.333
Mo 0.000 0.000 0.757
Mo 0.333 0.667 0.424
Mo 0.667 0.333 0.091
Os 0.000 0.000 0.249
Os 0.000 0.000 0.503
Os 0.333 0.667 0.170
Os 0.333 0.667 0.916
Os 0.667 0.333 0.582
Os 0.667 0.333 0.837
! Energy above the most stable polymorph in this dataset   242 meV/atom
! SG   R3m
! N(E_F)   1.425 states/eV per atom
! Calculated formation energy   0.209 eV/atom